The following is a PBE calculation of a relaxed structure of CaTiAsBr2, from Alexandria via LeMat-Bulk.

It has space group P4/mmm (No. 123), with a = 5.1180 Å, b = 5.1180 Å, c = 5.1217 Å, α = 90.00°, β = 90.00° and γ = 90.00°. The inequivalent atoms are Ca at (0.0000, 0.0000, 0.0000), Ti at (0.5000, 0.5000, 0.5000), As at (0.5000, 0.5000, 0.0000) and Br at (0.0000, 0.5000, 0.5000).

As for the crystal system: tetragonal. The value obtained for the uncorrected formation energy is -4.1 eV/f.u.

=====

The following is a PBE calculation of a relaxed structure of La2GaAuSe5, from Alexandria via LeMat-Bulk.

It has space group Cmc2_1 (No. 36), with a = 4.1833 Å, b = 19.0570 Å, c = 11.8352 Å, α = 90.00°, β = 90.00° and γ = 90.00°. The inequivalent atoms are La at (0.0000, 0.1089, 0.0000), La at (0.0000, 0.1172, 0.6143), Ga at (0.0000, 0.4133, 0.7838), Au at (0.0000, 0.2555, 0.4168), Se at (0.0000, 0.0396, 0.3749), Se at (0.0000, 0.3162, 0.6502), Se at (0.0000, 0.3179, 0.9631), Se at (0.0000, 0.3696, 0.3093) and Se at (0.0000, 0.4965, 0.6033).

As for the crystal system: orthorhombic. The value obtained for the uncorrected formation energy is -11.2 eV/f.u.

=====

The following is a PBE calculation of a relaxed structure of Ac6Nd5Er2, from Alexandria via LeMat-Bulk.

It has space group Pbam (No. 55), with a = 11.3738 Å, b = 24.1067 Å, c = 3.7601 Å, α = 90.00°, β = 90.00° and γ = 90.00°. The inequivalent atoms are Ac at (0.0184, 0.1132, 0.0000), Ac at (0.1471, 0.3847, 0.0000), Ac at (0.1660, 0.6345, 0.5000), Nd at (0.0000, 0.5000, 0.5000), Nd at (0.0849, 0.2494, 0.5000), Nd at (0.1647, 0.9968, 0.5000) and Er at (0.1651, 0.7659, 0.0000).

As for the crystal system: orthorhombic. The calculation puts the formation energy at 0.147 eV per atom.

=====

The following is a PBE calculation of a relaxed structure of Te2HBr, from Alexandria via LeMat-Bulk.

It has space group I-42d (No. 122), with a = 6.2400 Å, b = 6.2400 Å, c = 10.3427 Å, α = 90.00°, β = 90.00° and γ = 90.00°. The inequivalent atoms are Te at (0.0972, 0.2500, 0.1250), H at (0.0000, 0.0000, 0.0000) and Br at (0.0000, 0.0000, 0.5000).

As for the crystal system: tetragonal.

=====

The following is a PBE calculation of a relaxed structure of TaTi7Ga4, from Alexandria via LeMat-Bulk.

It has space group C2/m (No. 12), with a = 12.3117 Å, b = 4.8558 Å, c = 8.0499 Å, α = 90.00°, β = 120.54° and γ = 90.00°. The inequivalent atoms are Ta at (0.0000, 0.0000, 0.0000), Ti at (0.0000, 0.5000, 0.0000), Ti at (0.0692, 0.0000, 0.4079), Ti at (0.2020, 0.0000, 0.8822), Ti at (0.2375, 0.0000, 0.2719), Ga at (0.0526, 0.5000, 0.7092) and Ga at (0.1813, 0.5000, 0.3508).

As for the crystal system: monoclinic. The calculation puts the formation energy at -0.011 eV per atom.

=====

The following is a PBE calculation of a relaxed structure of Pm2P2HRu2, from Alexandria via LeMat-Bulk.

It has space group C2/m (No. 12), with a = 10.7262 Å, b = 4.0511 Å, c = 6.8339 Å, α = 90.00°, β = 126.60° and γ = 90.00°. The inequivalent atoms are Pm at (0.0588, 0.0000, 0.3099), P at (0.1885, 0.5000, 0.7310), H at (0.0000, 0.5000, 0.0000) and Ru at (0.1997, 0.5000, 0.0900).

As for the crystal system: monoclinic.

=====

The following is a PBE calculation of a relaxed structure of Nb2Ga2CuNi7, from Alexandria via LeMat-Bulk.

It has space group I4/mmm (No. 139), with a = 3.3041 Å, b = 3.3041 Å, c = 29.4765 Å, α = 90.00°, β = 90.00° and γ = 90.00°. The inequivalent atoms are Nb at (0.0000, 0.0000, 0.1329), Ga at (0.0000, 0.0000, 0.3099), Cu at (0.0000, 0.0000, 0.5000), Ni at (0.0000, 0.0000, 0.0000), Ni at (0.0000, 0.0000, 0.2262) and Ni at (0.0000, 0.5000, 0.0656).

As for the crystal system: tetragonal. The calculation puts the formation energy at 0.033 eV per atom.

=====

The following is a PBE calculation of a relaxed structure of Pu2Si2Ag, from Alexandria via LeMat-Bulk.

It has space group P4/mbm (No. 127), with a = 6.8838 Å, b = 6.8838 Å, c = 4.4004 Å, α = 90.00°, β = 90.00° and γ = 90.00°. The inequivalent atoms are Pu at (0.1674, 0.3326, 0.0000), Si at (0.1259, 0.6259, 0.5000) and Ag at (0.0000, 0.0000, 0.5000).

As for the crystal system: tetragonal. The value obtained for the uncorrected formation energy is -1.6 eV/f.u.

=====

The following is a PBE calculation of a relaxed structure of PmGdPu4, from Alexandria via LeMat-Bulk.

It has space group F-43m (No. 216), with a = 8.8030 Å, b = 8.8030 Å, c = 8.8030 Å, α = 90.00°, β = 90.00° and γ = 90.00°. The inequivalent atoms are Pm at (0.0000, 0.0000, 0.0000), Gd at (0.2500, 0.2500, 0.2500) and Pu at (0.1252, 0.1252, 0.6252).

As for the crystal system: cubic. The calculation puts the formation energy at 0.244 eV per atom.

=====

The following is a PBE calculation of a relaxed structure of CePuScAl, from Alexandria via LeMat-Bulk.

It has space group F-43m (No. 216), with a = 7.2399 Å, b = 7.2399 Å, c = 7.2399 Å, α = 90.00°, β = 90.00° and γ = 90.00°. The inequivalent atoms are Ce at (0.0000, 0.0000, 0.0000), Pu at (0.2500, 0.2500, 0.7500), Sc at (0.0000, 0.0000, 0.5000) and Al at (0.2500, 0.2500, 0.2500).

As for the crystal system: cubic. The calculation puts the formation energy at -0.089 eV per atom.

=====

The following is a PBE calculation of a relaxed structure of LiPmGaCu2, from Alexandria via LeMat-Bulk.

It has space group I-4m2 (No. 119), with a = 4.0353 Å, b = 4.0353 Å, c = 11.0195 Å, α = 90.00°, β = 90.00° and γ = 90.00°. The inequivalent atoms are Li at (0.0000, 0.0000, 0.0000), Pm at (0.0000, 0.5000, 0.2500), Ga at (0.0000, 0.0000, 0.5000) and Cu at (0.0000, 0.5000, 0.6387).

As for the crystal system: tetragonal. The calculation puts the formation energy at -0.261 eV per atom.

=====

The following is a PBE calculation of a relaxed structure of TiCrTcSb, from Alexandria via LeMat-Bulk.

It has space group F-43m (No. 216), with a = 6.2990 Å, b = 6.2990 Å, c = 6.2990 Å, α = 90.00°, β = 90.00° and γ = 90.00°. The inequivalent atoms are Ti at (0.0000, 0.0000, 0.0000), Cr at (0.2500, 0.2500, 0.7500), Tc at (0.2500, 0.2500, 0.2500) and Sb at (0.0000, 0.0000, 0.5000).

As for the crystal system: cubic. The value obtained for the uncorrected formation energy is -0.7 eV/f.u.

=====

Final energy in eV per atom, matching the order above: -4.40, -4.98, -4.29, -2.38, -6.61, -6.91, -5.86, -8.79, -12.45, -7.67, -3.84, -8.17